# LaInCo2

A crystal of LaInCo2 relaxed with PBEsol (SCAN, Alexandria).

Cell and atoms, written as CIF:
```
data_LaInCo2
_chemical_formula_sum 'La1 In1 Co2'
_cell_length_a 3.099
_cell_length_b 3.099
_cell_length_c 7.427
_cell_angle_alpha 90.00
_cell_angle_beta 90.00
_cell_angle_gamma 90.00
_space_group_name_H-M_alt 'P 4 m m'
_space_group_IT_number 99
loop_
_space_group_symop_operation_xyz
'x,y,z'
'-y,x,z'
'-x,-y,z'
'y,-x,z'
'-x,y,z'
'y,x,z'
'x,-y,z'
'-y,-x,z'
loop_
_atom_site_label
_atom_site_fract_x
_atom_site_fract_y
_atom_site_fract_z
La1 0.000 0.000 0.000
In1 0.500 0.500 0.640
Co1 0.000 0.000 0.411
Co2 0.500 0.500 0.275
```

Output
- Mass density: 8.65 Mg/m³
- DFT formation energy: 0.023 eV/atom
- Magnetic moment: 0.680 μB per atom
- Density of states at the Fermi level: 3.99 states/eV/f.u.